1.
{
  "formula": "Co2CuGeO",
  "functional": "GGA+U",
  "state": "optimized geometry",
  "sg": "P4/mmm",
  "dft_energy_ev_per_atom": -4.625,
  "m_tot_mub_per_atom": 0.852,
  "lattice_angstrom": [[-1.9388, -2.4949, -2.5050], [1.9296, -3.1422, 1.6361], [-2.9631, -0.4119, 2.7035]],
  "species": ["Ge", "Co", "Cu", "Co", "O"],
  "fractional_positions": [[0.5000, 0.5000, 0.5000], [0.0000, 0.0000, 0.5000], [0.0000, 0.5000, 0.0000], [0.5000, 0.0000, 0.0000], [0.0000, 0.0000, 0.0000]]
}

2.
{
  "formula": "CoCu2GeO4",
  "functional": "GGA+U",
  "state": "optimized geometry",
  "sg": "Fmm2",
  "dft_energy_ev_per_atom": -5.634,
  "m_tot_mub_per_atom": 0.392,
  "lattice_angstrom": [[4.5335, 0.1847, 0.0000], [-0.1920, 4.5332, 0.0000], [-2.1708, -2.3589, 4.7190]],
  "species": ["Ge", "O", "O", "O", "Cu", "Co", "Cu", "O"],
  "fractional_positions": [[0.4999, 0.4999, 0.9999], [0.8391, 0.3790, 0.2181], [0.1604, 0.1604, 0.7817], [0.6212, 0.6212, 0.7817], [0.7501, 0.2501, 0.5002], [0.0004, 0.0004, 0.0008], [0.2501, 0.7501, 0.5002], [0.3790, 0.8391, 0.2181]]
}

- Which formula does entry 2 have?
  CoCu2GeO4

- Number 2 is which compound?
  CoCu2GeO4